# 1
The following is a PBE calculation of a geometry-optimized Rb2HoGaI6 structure, from Alexandria via LeMat-Bulk.

a b c (Å): 8.730 8.731 8.729
angles (deg): 59.98 59.98 59.98
Fractional positions:
Ga  0.818  0.818  0.547
Rb  0.545  0.545  0.364
Rb  0.038  0.038  0.885
Ho  0.321  0.321  0.037
I  0.003  0.561  0.275
I  0.093  0.477  0.786
I  0.162  0.003  0.275
I  0.477  0.644  0.786
I  0.561  0.162  0.275
I  0.644  0.093  0.786

Values from the calculation:
mass density	4.121	Mg/m³
raw formation energy	-1183	kJ/mol of formula units
SG	R3, No. 146
total magnetization	0.0	μB per formula unit
electronic total energy	-31.104	eV for the cell shown
crystal system	trigonal



# 2
The following is a PBE calculation of a geometry-optimized HoTlGa2I6 structure, from Alexandria via LeMat-Bulk.

a b c (Å): 8.230 8.232 8.865
angles (deg): 62.29 62.30 59.96
Fractional positions:
I  0.389  0.714  0.764
I  0.570  0.241  0.236
I  0.714  0.133  0.764
I  0.952  0.571  0.236
I  0.241  0.952  0.236
I  0.133  0.390  0.764
Ga  0.512  0.512  0.464
Ga  0.004  0.004  0.988
Tl  0.818  0.818  0.545
Ho  0.327  0.327  0.020

Values from the calculation:
mass density	4.808	Mg/m³
raw formation energy	-787	kJ/mol of formula units
SG	R3, No. 146
total magnetization	0.0	μB per formula unit
electronic total energy	-30.458	eV for the cell shown
crystal system	trigonal



# 3
The following is a PBE calculation of a geometry-optimized HoTl3Ga3I8 structure, from Alexandria via LeMat-Bulk.

a b c (Å): 9.237 9.234 10.227
angles (deg): 116.88 90.00 120.01
Fractional positions:
I  0.742  0.484  0.726
I  0.222  0.984  0.706
I  0.778  0.555  0.294
I  0.258  0.516  0.274
I  0.778  0.016  0.294
I  0.222  0.445  0.706
I  0.762  0.984  0.706
I  0.238  0.016  0.294
Tl  0.500  0.500  0.000
Tl  0.000  0.500  0.000
Tl  0.000  0.000  0.000
Ga  0.500  0.500  0.500
Ga  0.500  0.000  0.500
Ga  0.000  0.500  0.500
Ho  0.000  0.000  0.500

Values from the calculation:
mass density	5.161	Mg/m³
raw formation energy	-902	kJ/mol of formula units
SG	C2/m, No. 12
total magnetization	0.0	μB per formula unit
electronic total energy	-42.508	eV for the cell shown
crystal system	monoclinic



Repeat the third record exactly.
The following is a PBE calculation of a geometry-optimized HoTl3Ga3I8 structure, from Alexandria via LeMat-Bulk.

a b c (Å): 9.237 9.234 10.227
angles (deg): 116.88 90.00 120.01
Fractional positions:
I  0.742  0.484  0.726
I  0.222  0.984  0.706
I  0.778  0.555  0.294
I  0.258  0.516  0.274
I  0.778  0.016  0.294
I  0.222  0.445  0.706
I  0.762  0.984  0.706
I  0.238  0.016  0.294
Tl  0.500  0.500  0.000
Tl  0.000  0.500  0.000
Tl  0.000  0.000  0.000
Ga  0.500  0.500  0.500
Ga  0.500  0.000  0.500
Ga  0.000  0.500  0.500
Ho  0.000  0.000  0.500

Values from the calculation:
mass density	5.161	Mg/m³
raw formation energy	-902	kJ/mol of formula units
SG	C2/m, No. 12
total magnetization	0.0	μB per formula unit
electronic total energy	-42.508	eV for the cell shown
crystal system	monoclinic



What is the formula in the second record? HoTlGa2I6



Which value of raw formation energy does entry 1 give? -1183 kJ/mol of formula units



Please write out number 1 again, unchanged.
The following is a PBE calculation of a geometry-optimized Rb2HoGaI6 structure, from Alexandria via LeMat-Bulk.

a b c (Å): 8.730 8.731 8.729
angles (deg): 59.98 59.98 59.98
Fractional positions:
Ga  0.818  0.818  0.547
Rb  0.545  0.545  0.364
Rb  0.038  0.038  0.885
Ho  0.321  0.321  0.037
I  0.003  0.561  0.275
I  0.093  0.477  0.786
I  0.162  0.003  0.275
I  0.477  0.644  0.786
I  0.561  0.162  0.275
I  0.644  0.093  0.786

Values from the calculation:
mass density	4.121	Mg/m³
raw formation energy	-1183	kJ/mol of formula units
SG	R3, No. 146
total magnetization	0.0	μB per formula unit
electronic total energy	-31.104	eV for the cell shown
crystal system	trigonal